1.
Computed, not measured: a relaxed structure of PuScAgSb at the PBE-GGA level of DFT. Values from VASP.

```
&SYSTEM
  ibrav = 0, nat = 4, ntyp = 4
/
ATOMIC_SPECIES
Pu 244.00 Pu.upf
Sc 44.96 Sc.upf
Ag 107.87 Ag.upf
Sb 121.76 Sb.upf
ATOMIC_POSITIONS crystal
Pu 0.000 0.000 0.000
Sc 0.500 0.500 0.500
Ag 0.250 0.250 0.250
Sb 0.750 0.750 0.750
CELL_PARAMETERS angstrom
0.000 3.628 3.628
3.628 0.000 3.628
3.628 3.628 0.000
```

Values from the calculation:
crystal system	cubic
space group	No. 216
formation energy (no corrections)	-0.374	eV per atom



2.
Computed, not measured: a relaxed structure of KLaTi2 at the PBE-GGA level of DFT. Values from VASP.

```
&SYSTEM
  ibrav = 0, nat = 4, ntyp = 3
/
ATOMIC_SPECIES
K 39.10 K.upf
La 138.91 La.upf
Ti 47.87 Ti.upf
ATOMIC_POSITIONS crystal
K 0.000 0.000 0.000
La 0.500 0.500 0.500
Ti 0.250 0.250 0.250
Ti 0.750 0.750 0.750
CELL_PARAMETERS angstrom
0.000 3.787 3.787
3.787 0.000 3.787
3.787 3.787 0.000
```

Values from the calculation:
crystal system	cubic
space group	No. 225
energy relative to the elements	4.55	eV per formula unit
ΔE to the lowest computed polymorph	0	meV per atom



Number 1: size of the total moment 1.7505 μB per atom, N(E_F) 2.59 states/eV/atom. Number 2: size of the total moment 0.2779 μB per atom, N(E_F) 1.70 states/eV/atom.